[1]
An optimized crystal structure of TlP2PbBrO, computed with PBE.

As for the energy relative to the elements, uncorrected: -0.5967 eV per atom. The calculation puts the distance to the lowest polymorph of the same formula at 1 meV/atom.

The space group is Cm (No. 8) and the conventional cell measures 9.427, 3.562 and 10.112 Å, with angles of 90.00, 110.89 and 90.00 degrees. The inequivalent atoms are Tl at (0.000, 0.000, 0.000), P at (0.341, 0.000, 0.177), P at (0.399, 0.500, 0.328), Pb at (0.209, 0.000, 0.541), Br at (0.081, 0.500, 0.723) and O at (0.278, 0.500, 0.406).


[2]
An optimized crystal structure of TlP2PbBrO, computed with PBE.

As for the energy relative to the elements, uncorrected: -0.4617 eV per atom. The calculation puts the distance to the lowest polymorph of the same formula at 136 meV/atom.

The space group is P1 (No. 1) and the conventional cell measures 4.200, 6.111 and 6.671 Å, with angles of 87.05, 85.74 and 70.00 degrees. The inequivalent atoms are Tl at (0.000, 0.000, 0.000), P at (0.095, 0.946, 0.452), P at (0.599, 0.113, 0.605), Pb at (0.701, 0.577, 0.568), Br at (0.697, 0.572, 0.008) and O at (0.315, 0.140, 0.421).


[3]
An optimized crystal structure of TlP2PbBrO, computed with PBE.

As for the energy relative to the elements, uncorrected: -0.5784 eV per atom. The calculation puts the distance to the lowest polymorph of the same formula at 19 meV/atom.

The space group is Cm (No. 8) and the conventional cell measures 18.845, 3.532 and 4.729 Å, with angles of 90.00, 101.66 and 90.00 degrees. The inequivalent atoms are Tl at (0.000, 0.000, 0.000), P at (0.322, 0.500, 0.111), P at (0.387, 0.000, 0.338), Pb at (0.241, 0.000, 0.586), Br at (0.100, 0.500, 0.537) and O at (0.247, 0.500, 0.234).


[4]
An optimized crystal structure of TlP2PbBrO, computed with PBE.

As for the energy relative to the elements, uncorrected: -0.5646 eV per atom. The calculation puts the distance to the lowest polymorph of the same formula at 33 meV/atom.

The space group is P1 (No. 1) and the conventional cell measures 3.780, 6.482 and 6.806 Å, with angles of 86.21, 73.94 and 88.94 degrees. The inequivalent atoms are Tl at (0.000, 0.000, 0.000), P at (0.305, 0.984, 0.386), P at (0.702, 0.045, 0.589), Pb at (0.284, 0.458, 0.401), Br at (0.962, 0.496, 0.037) and O at (0.691, 0.292, 0.596).


[5]
An optimized crystal structure of TlP2PbBrO, computed with PBE.

As for the energy relative to the elements, uncorrected: -0.5950 eV per atom. The calculation puts the distance to the lowest polymorph of the same formula at 3 meV/atom.

The space group is Cm (No. 8) and the conventional cell measures 9.434, 3.570 and 10.303 Å, with angles of 90.00, 114.24 and 90.00 degrees. The inequivalent atoms are Tl at (0.000, 0.000, 0.000), P at (0.077, 0.000, 0.675), P at (0.148, 0.500, 0.828), Pb at (0.211, 0.000, 0.461), Br at (0.431, 0.000, 0.277) and O at (0.391, 0.500, 0.598).


[6]
An optimized crystal structure of P2PdBrO, computed with PBE.

As for the energy relative to the elements, uncorrected: 1.1337 eV per atom. The calculation puts the distance to the lowest polymorph of the same formula at 509 meV/atom.

The space group is P4/mmm (No. 123) and the conventional cell measures 4.923, 4.923 and 3.583 Å, with angles of 90.00, 90.00 and 90.00 degrees. The inequivalent atoms are P at (0.000, 0.500, 0.000), Pd at (0.000, 0.000, 0.500), Br at (0.500, 0.500, 0.000) and O at (0.500, 0.500, 0.500).


[7]
An optimized crystal structure of P2PdBrO, computed with PBE.

As for the energy relative to the elements, uncorrected: 0.6243 eV per atom. The calculation puts the distance to the lowest polymorph of the same formula at 0 meV/atom.

The space group is P4/mmm (No. 123) and the conventional cell measures 4.830, 4.830 and 3.920 Å, with angles of 90.00, 90.00 and 90.00 degrees. The inequivalent atoms are P at (0.000, 0.500, 0.000), Pd at (0.000, 0.000, 0.000), Br at (0.500, 0.500, 0.500) and O at (0.000, 0.000, 0.500).


[8]
An optimized crystal structure of PmP2BrO6, computed with PBE.

As for the energy relative to the elements, uncorrected: -2.3814 eV per atom.

The space group is C2/c (No. 15) and the conventional cell measures 12.068, 12.258 and 4.882 Å, with angles of 90.00, 104.67 and 90.00 degrees. The inequivalent atoms are Pm at (0.000, 0.218, 0.250), P at (0.208, 0.422, 0.625), Br at (0.000, 0.102, 0.750), O at (0.097, 0.363, 0.517), O at (0.184, 0.141, 0.346) and O at (0.208, 0.471, 0.933).


[9]
An optimized crystal structure of PPtBrO2, computed with PBE.

As for the energy relative to the elements, uncorrected: 0.7716 eV per atom. The calculation puts the distance to the lowest polymorph of the same formula at 549 meV/atom.

The space group is P4/mmm (No. 123) and the conventional cell measures 3.650, 3.650 and 5.999 Å, with angles of 90.00, 90.00 and 90.00 degrees. The inequivalent atoms are P at (0.000, 0.000, 0.000), Pt at (0.500, 0.500, 0.000), Br at (0.000, 0.000, 0.500) and O at (0.000, 0.500, 0.500).


[10]
An optimized crystal structure of PPtBrO2, computed with PBE.

As for the energy relative to the elements, uncorrected: 0.2222 eV per atom. The calculation puts the distance to the lowest polymorph of the same formula at 0 meV/atom.

The space group is P4/mmm (No. 123) and the conventional cell measures 3.880, 3.880 and 5.318 Å, with angles of 90.00, 90.00 and 90.00 degrees. The inequivalent atoms are P at (0.000, 0.000, 0.000), Pt at (0.000, 0.000, 0.500), Br at (0.500, 0.500, 0.000) and O at (0.000, 0.500, 0.500).


[11]
An optimized crystal structure of PuPBrO4, computed with PBE.

As for the energy relative to the elements, uncorrected: -2.3078 eV per atom.

The space group is C2/m (No. 12) and the conventional cell measures 10.054, 6.937 and 6.545 Å, with angles of 90.00, 103.46 and 90.00 degrees. The inequivalent atoms are Pu at (0.250, 0.000, 0.156), P at (0.136, 0.500, 0.261), Br at (0.017, 0.000, 0.758), O at (0.019, 0.500, 0.771), O at (0.188, 0.325, 0.147) and O at (0.206, 0.500, 0.497).


[12]
An optimized crystal structure of PuPBrO6, computed with PBE.

As for the energy relative to the elements, uncorrected: -1.8827 eV per atom.

The space group is C2 (No. 5) and the conventional cell measures 5.041, 11.259 and 6.332 Å, with angles of 90.00, 111.01 and 90.00 degrees. The inequivalent atoms are Pu at (0.000, 0.000, 0.000), P at (0.000, 0.288, 0.000), Br at (0.000, 0.205, 0.500), O at (0.078, 0.194, 0.845), O at (0.193, 0.501, 0.752) and O at (0.237, 0.862, 0.870).